An optimized crystal structure of Nd3BiH. Source: Alexandria via LeMat-Bulk, functional PBE.

Cell: 5.0157 5.0157 5.0157 Å, 90.00 90.00 90.00°
With the nearest neighbours (Å) after each atom.
Element x y z (fractional)
Nd 0.0000 0.5000 0.0000  2 H 2.51
Nd 0.5000 0.0000 0.0000  2 H 2.51
Nd 0.0000 0.0000 0.5000  2 H 2.51
Bi 0.5000 0.5000 0.5000  12 Nd 3.55
H 0.0000 0.0000 0.0000  6 Nd 2.51

Summary:
**Offset from the most stable computed form**: 0.0 meV/atom

---

An optimized crystal structure of Ca2AuBr. Source: Alexandria via LeMat-Bulk, functional PBE.

Cell: 5.4252 5.4252 5.4252 Å, 60.00 60.00 60.00°
With the nearest neighbours (Å) after each atom.
Element x y z (fractional)
Ca 0.2500 0.2500 0.2500  4 Au 3.32, 4 Ca 3.32
Ca 0.0000 0.0000 0.0000  4 Ca 3.32, 4 Br 3.32
Au 0.5000 0.5000 0.5000  4 Br 3.32, 4 Ca 3.32
Br 0.7500 0.7500 0.7500  4 Ca 3.32, 4 Au 3.32

Summary:
**Offset from the most stable computed form**: 755.4 meV/atom
**Formation energy (no corrections)**: -353 meV/atom